Entry 1:
Compound: MgNiHg2
Source: the Alexandria database
Functional: PBE
Structure: optimized geometry

Calculated values
symmetry	I-4m2
crystal system	tetragonal
magnetic moment	0.00	μB/cell
uncorrected energy	-7.85	eV/cell

Cell and atoms, written as CIF:
```
data_MgNiHg2
_space_group_name_H-M_alt 'P 1'
_space_group_IT_number 1
_cell_length_a 5.2295
_cell_length_b 5.2295
_cell_length_c 5.2295
_cell_angle_alpha 134.12
_cell_angle_beta 134.12
_cell_angle_gamma 66.91
loop_
_space_group_symop_operation_xyz
'x,y,z'
loop_
_atom_site_label
_atom_site_type_symbol
_atom_site_fract_x
_atom_site_fract_y
_atom_site_fract_z
Mg1 Mg 0.0000 0.0000 0.0000
Ni1 Ni 0.2500 0.7500 0.5000
Hg1 Hg 0.5000 0.5000 0.0000
Hg2 Hg 0.7500 0.2500 0.5000
```

Entry 2:
Compound: MgNi2Hg
Source: the Alexandria database
Functional: PBE
Structure: optimized geometry

Calculated values
symmetry	I-42d
crystal system	tetragonal
magnetic moment	0.00	μB/cell
uncorrected energy	-24.30	eV/cell

Cell and atoms, written as CIF:
```
data_MgNi2Hg
_space_group_name_H-M_alt 'P 1'
_space_group_IT_number 1
_cell_length_a 9.2218
_cell_length_b 9.2218
_cell_length_c 9.2218
_cell_angle_alpha 155.93
_cell_angle_beta 155.93
_cell_angle_gamma 34.29
loop_
_space_group_symop_operation_xyz
'x,y,z'
loop_
_atom_site_label
_atom_site_type_symbol
_atom_site_fract_x
_atom_site_fract_y
_atom_site_fract_z
Mg1 Mg 0.0000 0.0000 0.0000
Mg2 Mg 0.7500 0.2500 0.5000
Ni1 Ni 0.1037 0.6250 0.9787
Ni2 Ni 0.3750 0.3537 0.4787
Ni3 Ni 0.6463 0.1250 0.0213
Ni4 Ni 0.8750 0.8963 0.5213
Hg1 Hg 0.2500 0.7500 0.5000
Hg2 Hg 0.5000 0.5000 0.0000
```

Entry 3:
Compound: Mg2Ni2Hg
Source: the Alexandria database
Functional: PBE
Structure: optimized geometry

Calculated values
symmetry	P4/mbm
crystal system	tetragonal
magnetic moment	0.00	μB/cell
uncorrected energy	-31.33	eV/cell
ΔE to the lowest computed polymorph	0.0	kJ/mol of atoms

Cell and atoms, written as CIF:
```
data_Mg2Ni2Hg
_space_group_name_H-M_alt 'P 1'
_space_group_IT_number 1
_cell_length_a 6.7156
_cell_length_b 6.7156
_cell_length_c 3.6660
_cell_angle_alpha 90.00
_cell_angle_beta 90.00
_cell_angle_gamma 90.00
loop_
_space_group_symop_operation_xyz
'x,y,z'
loop_
_atom_site_label
_atom_site_type_symbol
_atom_site_fract_x
_atom_site_fract_y
_atom_site_fract_z
Mg1 Mg 0.1663 0.3337 0.0000
Mg2 Mg 0.3337 0.8337 0.0000
Mg3 Mg 0.6663 0.1663 0.0000
Mg4 Mg 0.8337 0.6663 0.0000
Ni1 Ni 0.1253 0.6253 0.5000
Ni2 Ni 0.3747 0.1253 0.5000
Ni3 Ni 0.6253 0.8747 0.5000
Ni4 Ni 0.8747 0.3747 0.5000
Hg1 Hg 0.0000 0.0000 0.5000
Hg2 Hg 0.5000 0.5000 0.5000
```

Entry 4:
Compound: Mg2NiHg2
Source: the Alexandria database
Functional: PBE
Structure: optimized geometry

Calculated values
symmetry	I4/mmm
crystal system	tetragonal
magnetic moment	0.00	μB/cell
uncorrected energy	-7.84	eV/cell
ΔE to the lowest computed polymorph	30.8	kJ/mol of atoms

Cell and atoms, written as CIF:
```
data_Mg2NiHg2
_space_group_name_H-M_alt 'P 1'
_space_group_IT_number 1
_cell_length_a 7.2979
_cell_length_b 7.2979
_cell_length_c 7.2979
_cell_angle_alpha 148.81
_cell_angle_beta 148.81
_cell_angle_gamma 44.69
loop_
_space_group_symop_operation_xyz
'x,y,z'
loop_
_atom_site_label
_atom_site_type_symbol
_atom_site_fract_x
_atom_site_fract_y
_atom_site_fract_z
Mg1 Mg 0.2500 0.7500 0.5000
Mg2 Mg 0.7500 0.2500 0.5000
Ni1 Ni 0.0000 0.0000 0.0000
Hg1 Hg 0.4003 0.4003 0.0000
Hg2 Hg 0.5997 0.5997 0.0000
```

Values for formation enthalpy at 0 K, meV per atom, ordered as above
31.3, 327.1, -122.6, 347.4